Entry 1:
The following is a DFT calculation (GGA-PBE) of NaTlCuSn2 after structural relaxation.

Geometry as POSCAR:
```
NaTlCuSn2
1.0
-1.6817 -3.0085 3.7182
1.6311 -4.0658 -2.5520
4.8160 0.3746 2.4813
Na Tl Sn Cu
1 1 2 1
direct
0.0000 0.0000 0.5000 Na
0.5000 0.5000 0.5000 Tl
0.0000 0.5000 0.0000 Sn
0.5000 0.0000 0.0000 Sn
0.0000 0.0000 0.0000 Cu
```

Computed properties:
Formation energy in eV/f.u.: 0.38
DFT total energy in eV/atom: -3.08

Entry 2:
The following is a DFT calculation (GGA-PBE) of NaV2CuSn after structural relaxation.

Geometry as POSCAR:
```
NaV2CuSn
1.0
4.8562 0.0000 0.0000
0.0000 4.4451 0.0000
0.0000 0.0000 4.8562
Na Sn Cu V
1 1 1 2
direct
0.0000 0.0000 0.0000 Na
0.5000 0.5000 0.5000 Sn
0.0000 0.5000 0.0000 Cu
0.0000 0.0000 0.5000 V
0.5000 0.0000 0.0000 V
```

Computed properties:
Formation energy in eV/f.u.: 7.66
DFT total energy in eV/atom: -4.00

Entry 3:
The following is a DFT calculation (GGA-PBE) of NaZnCuSn after structural relaxation.

Geometry as POSCAR:
```
NaZnCuSn
1.0
-1.7633 1.8939 3.9745
1.5541 -1.4859 4.2272
2.6958 2.8457 2.6696
Na Zn Sn Cu
1 1 1 1
direct
0.7500 0.7500 0.7500 Na
0.0000 0.0000 0.0000 Zn
0.2500 0.2500 0.2500 Sn
0.5000 0.5000 0.5000 Cu
```

Computed properties:
Formation energy in eV/f.u.: 0.24
DFT total energy in eV/atom: -2.61

Entry 4:
The following is a DFT calculation (GGA-PBE) of NaSr2Cu after structural relaxation.

Geometry as POSCAR:
```
NaSr2Cu
1.0
4.4328 0.0000 0.0000
2.2164 3.8389 0.0000
2.2164 1.2796 9.6040
Na Sr Cu
1 2 1
direct
0.5007 0.5007 0.4979 Na
0.0591 0.0591 0.8226 Sr
0.2740 0.2740 0.1781 Sr
0.6662 0.6662 0.0013 Cu
```

Computed properties:
Formation energy in eV/f.u.: 0.12
DFT total energy in eV/atom: -2.16
Relative energy among the computed polymorphs in eV per atom: 0.0545

Entry 5:
The following is a DFT calculation (GGA-PBE) of Na2Sr3Cu2 after structural relaxation.

Geometry as POSCAR:
```
Na2Sr3Cu2
1.0
-2.4917 -3.4263 -0.6963
1.0840 -4.3114 4.0993
-7.9411 1.4745 7.9264
Na Sr Cu
2 3 2
direct
0.1228 0.1916 0.5628 Na
0.8772 0.8084 0.4372 Na
0.0000 0.0000 0.0000 Sr
0.6537 0.4469 0.2458 Sr
0.3463 0.5531 0.7542 Sr
0.7296 0.5802 0.9607 Cu
0.2704 0.4198 0.0393 Cu
```

Computed properties:
Formation energy in eV/f.u.: 0.11
DFT total energy in eV/atom: -2.25

Entry 6:
The following is a DFT calculation (GGA-PBE) of Na5Sr4Cu2 after structural relaxation.

Geometry as POSCAR:
```
Na5Sr4Cu2
1.0
-0.7451 0.2392 -4.0328
-4.3124 -8.2019 0.3102
-8.9443 6.1871 2.0195
Na Sr Cu
5 4 2
direct
0.0000 0.5374 0.3236 Na
0.0000 0.1797 0.1370 Na
0.0000 0.5000 0.0000 Na
0.0000 0.8203 0.8630 Na
0.0000 0.4626 0.6764 Na
0.5000 0.7965 0.5544 Sr
0.5000 0.1602 0.8202 Sr
0.5000 0.2035 0.4456 Sr
0.5000 0.8398 0.1798 Sr
0.0000 0.0536 0.6099 Cu
0.0000 0.9464 0.3901 Cu
```

Computed properties:
Formation energy in eV/f.u.: 0.05
DFT total energy in eV/atom: -1.95